(1)
Density functional theory data (PBE-GGA) for a relaxed structure of Nb2Cu2Pt.

Cell: 3.824 3.824 6.240 Å, 72.16 72.16 90.00°
Fractional coordinates of all 5 atoms:
Pt 0.000 0.000 0.000
Nb 0.750 0.250 0.500
Cu 0.596 0.596 0.808
Nb 0.250 0.750 0.500
Cu 0.404 0.404 0.192

Summary:
- energy of formation from the pure elements (meV/atom) = 355

***

(2)
Density functional theory data (PBE-GGA) for a relaxed structure of NbCu2Pt5.

Cell: 4.017 4.017 7.953 Å, 104.63 104.63 90.00°
Fractional coordinates of all 8 atoms:
Pt 0.630 0.130 0.261
Cu 0.252 0.252 0.504
Nb 0.000 0.000 0.000
Pt 0.500 0.500 0.000
Pt 0.130 0.630 0.261
Pt 0.370 0.870 0.739
Pt 0.870 0.370 0.739
Cu 0.748 0.748 0.496

Summary:
- energy of formation from the pure elements (meV/atom) = -419

***

(3)
Density functional theory data (PBE-GGA) for a relaxed structure of NbCu4Pt.

Cell: 4.830 4.830 4.830 Å, 60.00 60.00 60.00°
Fractional coordinates of all 6 atoms:
Cu 0.124 0.625 0.625
Nb 0.250 0.250 0.250
Pt 0.000 0.000 0.000
Cu 0.625 0.625 0.625
Cu 0.625 0.124 0.625
Cu 0.625 0.625 0.124

Summary:
- energy of formation from the pure elements (meV/atom) = -159

***

(4)
Density functional theory data (PBE-GGA) for a relaxed structure of NbCuRuPt.

Cell: 3.661 3.867 4.188 Å, 90.00 90.00 90.00°
Fractional coordinates of all 4 atoms:
Pt 0.000 0.000 0.000
Ru 0.000 0.500 0.500
Nb 0.500 0.000 0.500
Cu 0.500 0.500 0.000

Summary:
- energy of formation from the pure elements (meV/atom) = -326

***

(5)
Density functional theory data (PBE-GGA) for a relaxed structure of Nb2CuTcPt.

Cell: 4.864 4.864 4.754 Å, 90.00 90.00 90.00°
Last column: magnetic moment on the atom in μB.
Fractional coordinates of all 5 atoms:
Cu 0.500 0.500 0.500  0.00
Nb 0.000 0.500 0.000  -0.05
Pt 0.000 0.000 0.000  0.00
Nb 0.500 0.000 0.000  -0.05
Tc 0.000 0.000 0.500  0.19

Summary:
- energy of formation from the pure elements (meV/atom) = 1491

***

(6)
Density functional theory data (PBE-GGA) for a relaxed structure of TiNbCuPt.

Cell: 4.436 4.436 4.436 Å, 60.00 60.00 60.00°
Last column: magnetic moment on the atom in μB.
Fractional coordinates of all 4 atoms:
Cu 0.250 0.250 0.250  0.11
Ti 0.750 0.750 0.750  0.68
Nb 0.500 0.500 0.500  1.04
Pt 0.000 0.000 0.000  0.03

Summary:
- energy of formation from the pure elements (meV/atom) = -255

***

energy of formation from the pure elements of number 4 (NbCuRuPt)?
-326 meV/atom

***

What is the formula in the sixth record?
TiNbCuPt

***

What is the energy of formation from the pure elements in the second record?
-419 meV/atom

***

Which value of energy of formation from the pure elements does entry 5 give?
1491 meV/atom